ErB2IrRh after structural relaxation, computed with PBE.

```
ErB2IrRh
1.0
-0.0681 -2.8059 2.6181
2.9036 1.6744 1.8701
-4.4026 2.9612 0.2456
Er B Ir Rh
1 2 1 1
direct
0.0000 0.0000 0.0000 Er
0.6316 0.6316 0.2631 B
0.3684 0.3684 0.7369 B
0.2500 0.7500 0.5000 Ir
0.7500 0.2500 0.5000 Rh
```

Calculated values
The energy is -7.519 eV/atom. The total moment is 0.0 μB/f.u. Its formation energy is -0.693 eV/atom.



ErB2IrRu after structural relaxation, computed with PBE.

```
ErB2IrRu
1.0
-1.9045 -0.8850 -3.3062
1.6212 -3.5655 0.0206
-3.4209 0.6198 4.1247
Er B Ru Ir
1 2 1 1
direct
0.0000 0.0000 0.0000 Er
0.6562 0.6562 0.3125 B
0.3438 0.3438 0.6875 B
0.2500 0.7500 0.5000 Ru
0.7500 0.2500 0.5000 Ir
```

Calculated values
The energy is -7.831 eV/atom. The total moment is 0.0 μB/f.u. Its formation energy is -0.620 eV/atom.